# 1
LiHfTc: relaxed, GGA-PBE.

Cell lengths 3.236, 14.563, 4.396 Å; angles 90.00, 90.00, 90.00 degrees
Space group Cmcm (No. 63)
One atom of each set of equivalent atoms:
Li (0.000, 0.239, 0.250) [4 per cell]
Hf (0.000, 0.079, 0.750) [4 per cell]
Tc (0.000, 0.419, 0.750) [4 per cell]

E above lowest polymorph in meV per atom: 1
Formation energy from the elements in eV/atom: -0.073

---

# 2
LiHf3Tc: relaxed, GGA-PBE.

Cell lengths 5.033, 5.033, 5.033 Å; angles 90.00, 90.00, 90.00 degrees
Space group Pm-3m (No. 221)
One atom of each set of equivalent atoms:
Li (0.000, 0.000, 0.000) [1 per cell]
Hf (0.000, 0.500, 0.500) [3 per cell]
Tc (0.500, 0.500, 0.500) [1 per cell]

E above lowest polymorph in meV per atom: 0
Formation energy from the elements in eV/atom: 0.521

---

# 3
LiHf5Tc4: relaxed, GGA-PBE.

Cell lengths 3.278, 3.278, 16.875 Å; angles 90.00, 90.00, 90.00 degrees
Space group P4/mmm (No. 123)
One atom of each set of equivalent atoms:
Li (0.000, 0.000, 0.000) [1 per cell]
Hf (0.500, 0.500, 0.120) [2 per cell]
Hf (0.500, 0.500, 0.308) [2 per cell]
Hf (0.500, 0.500, 0.500) [1 per cell]
Tc (0.000, 0.000, 0.205) [2 per cell]
Tc (0.000, 0.000, 0.403) [2 per cell]

Formation energy from the elements in eV/atom: -0.355

---

# 4
LiHf2Tc: relaxed, GGA-PBE.

Cell lengths 7.198, 7.198, 5.744 Å; angles 90.00, 90.00, 90.00 degrees
Space group I-42d (No. 122)
One atom of each set of equivalent atoms:
Li (0.000, 0.000, 0.000) [4 per cell]
Hf (0.244, 0.250, 0.625) [8 per cell]
Tc (0.000, 0.000, 0.500) [4 per cell]

E above lowest polymorph in meV per atom: 605
Formation energy from the elements in eV/atom: 0.376

---

# 5
LiHfTc2: relaxed, GGA-PBE.

Cell lengths 4.381, 8.755, 6.555 Å; angles 90.00, 90.00, 90.00 degrees
Space group Amm2 (No. 38)
One atom of each set of equivalent atoms:
Li (0.000, 0.000, 0.000) [2 per cell]
Li (0.500, 0.000, 0.283) [2 per cell]
Hf (0.500, 0.234, 0.008) [4 per cell]
Tc (0.000, 0.000, 0.520) [2 per cell]
Tc (0.000, 0.237, 0.276) [4 per cell]
Tc (0.500, 0.000, 0.726) [2 per cell]

E above lowest polymorph in meV per atom: 0
Formation energy from the elements in eV/atom: -0.028

---

# 6
LiHfTc: relaxed, GGA-PBE.

Cell lengths 3.220, 15.116, 4.284 Å; angles 90.00, 90.00, 90.00 degrees
Space group Cmmm (No. 65)
One atom of each set of equivalent atoms:
Li (0.000, 0.000, 0.000) [2 per cell]
Li (0.000, 0.500, 0.500) [2 per cell]
Hf (0.000, 0.164, 0.500) [4 per cell]
Tc (0.000, 0.324, 0.000) [4 per cell]

E above lowest polymorph in meV per atom: 32
Formation energy from the elements in eV/atom: -0.041

---

Taking the records one at a time from the top gives spin magnetization values of 0.00 0.00 0.00 0.00 0.00 0.00 μB/f.u..
Taking the records one at a time from the top gives calculated density values of 9.1 8.3 11.8 10.3 10.1 9.0 g/cm³.